Below is an optimized crystal structure of CrInP2O, with properties calculated at the PBE+U level.

The space group is P4/mmm (No. 123) and the conventional cell measures 5.1298, 5.1298 and 3.5847 Å, with angles of 90.00, 90.00 and 90.00 degrees. Symmetry generates all atoms from Cr at (0.0000, 0.0000, 0.0000), In at (0.5000, 0.5000, 0.5000), P at (0.0000, 0.5000, 0.0000) and O at (0.0000, 0.0000, 0.5000).

The calculation puts the total energy at -25.9 eV/f.u. The calculation puts the total moment at 1.8 Bohr magnetons per cell.